1.
PrTlGeSe3: relaxed, PBE-GGA.

Cell lengths 7.429, 7.429, 11.513 Å; angles 90.00, 90.00, 143.91 degrees
Positions (direct):
1 Ge 0.468 0.532 0.250
2 Ge 0.532 0.468 0.750
3 Pr 0.000 0.000 0.000
4 Pr 0.000 0.000 0.500
5 Se 0.367 0.633 0.058
6 Se 0.071 0.929 0.250
7 Se 0.367 0.633 0.442
8 Se 0.633 0.367 0.558
9 Se 0.929 0.071 0.750
10 Se 0.633 0.367 0.942
11 Tl 0.742 0.258 0.250
12 Tl 0.258 0.742 0.750

## Properties
- Calculated density: 5.8 g/cm3
- V: 31.20 Å³ per atom
- Total DFT energy (no corrections): -4.56 eV/atom



2.
PrSiGeW4: relaxed, PBE-GGA.

Cell lengths 4.418, 7.132, 7.132 Å; angles 36.66, 90.00, 90.00 degrees
Positions (direct):
1 Ge 0.000 0.408 0.408
2 Pr 0.500 0.001 0.001
3 Si 0.000 0.599 0.599
4 W 0.000 0.192 0.192
5 W 0.500 0.299 0.299
6 W 0.500 0.697 0.697
7 W 0.000 0.804 0.804

## Properties
- Calculated density: 12.1 g/cm3
- V: 19.17 Å³ per atom
- Total DFT energy (no corrections): -9.52 eV/atom



3.
PrSmGe: relaxed, PBE-GGA.

Cell lengths 5.055, 5.055, 5.055 Å; angles 60.00, 60.00, 60.00 degrees
Positions (direct):
1 Ge 0.250 0.250 0.250
2 Pr 0.750 0.750 0.750
3 Sm 0.000 0.000 0.000

## Properties
- Calculated density: 6.6 g/cm3
- V: 30.45 Å³ per atom
- Total DFT energy (no corrections): -4.43 eV/atom



4.
PrSm2Ge7: relaxed, PBE-GGA.

Cell lengths 12.522, 12.522, 4.270 Å; angles 90.00, 90.00, 160.83 degrees
Positions (direct):
1 Ge 0.594 0.406 0.000
2 Ge 0.406 0.594 0.000
3 Ge 0.906 0.094 0.500
4 Ge 0.716 0.284 0.500
5 Ge 0.500 0.500 0.500
6 Ge 0.284 0.716 0.500
7 Ge 0.094 0.906 0.500
8 Pr 0.000 0.000 0.000
9 Sm 0.817 0.183 0.000
10 Sm 0.183 0.817 0.000

## Properties
- Calculated density: 7.2 g/cm3
- V: 21.98 Å³ per atom
- Total DFT energy (no corrections): -5.18 eV/atom



5.
PrSmZn6Ge3: relaxed, PBE-GGA.

Cell lengths 7.663, 7.663, 4.095 Å; angles 90.00, 90.00, 120.00 degrees
Positions (direct):
1 Ge 0.004 0.385 0.500
2 Ge 0.615 0.619 0.500
3 Ge 0.381 0.996 0.500
4 Pr 0.667 0.333 0.000
5 Sm 0.333 0.667 0.000
6 Zn 0.002 0.190 0.000
7 Zn 0.810 0.812 0.000
8 Zn 0.188 0.998 0.000
9 Zn 0.288 0.289 0.500
10 Zn 0.000 0.712 0.500
11 Zn 0.711 0.000 0.500

## Properties
- Calculated density: 7.2 g/cm3
- V: 18.93 Å³ per atom
- Total DFT energy (no corrections): -3.23 eV/atom



6.
PrSmZn2Ge2: relaxed, PBE-GGA.

Cell lengths 4.286, 4.286, 16.493 Å; angles 90.00, 90.00, 120.00 degrees
Positions (direct):
1 Ge 0.333 0.667 0.118
2 Ge 0.333 0.667 0.382
3 Ge 0.667 0.333 0.618
4 Ge 0.667 0.333 0.882
5 Pr 0.000 0.000 0.000
6 Pr 0.000 0.000 0.500
7 Sm 0.000 0.000 0.250
8 Sm 0.000 0.000 0.750
9 Zn 0.667 0.333 0.143
10 Zn 0.667 0.333 0.357
11 Zn 0.333 0.667 0.643
12 Zn 0.333 0.667 0.857

## Properties
- Relative energy among the computed polymorphs: 0.000 eV per atom
- Calculated density: 7.2 g/cm3
- V: 21.86 Å³ per atom



7.
SrPrGe3: relaxed, PBE-GGA.

Cell lengths 7.200, 7.200, 7.200 Å; angles 142.87, 142.87, 53.52 degrees
Positions (direct):
1 Ge 0.412 0.412 0.000
2 Ge 0.792 0.292 0.500
3 Ge 0.292 0.792 0.500
4 Pr 0.644 0.644 0.000
5 Sr 0.970 0.970 0.000

## Properties
- Calculated density: 5.5 g/cm3
- V: 27.03 Å³ per atom
- Total DFT energy (no corrections): -4.32 eV/atom



8.
SrPrGe: relaxed, PBE-GGA.

Cell lengths 5.233, 5.233, 5.233 Å; angles 60.00, 60.00, 60.00 degrees
Positions (direct):
1 Ge 0.000 0.000 0.000
2 Pr 0.250 0.250 0.250
3 Sr 0.750 0.750 0.750

## Properties
- Calculated density: 4.9 g/cm3
- V: 33.77 Å³ per atom
- Total DFT energy (no corrections): -4.13 eV/atom



9.
PrTaGe: relaxed, PBE-GGA.

Cell lengths 4.955, 4.955, 4.955 Å; angles 60.00, 60.00, 60.00 degrees
Positions (direct):
1 Ge 0.250 0.250 0.250
2 Pr 0.000 0.000 0.000
3 Ta 0.750 0.750 0.750

## Properties
- Calculated density: 7.6 g/cm3
- V: 28.68 Å³ per atom
- Total DFT energy (no corrections): -5.88 eV/atom



10.
PrTaGe: relaxed, PBE-GGA.

Cell lengths 4.698, 4.698, 4.698 Å; angles 60.00, 60.00, 60.00 degrees
Positions (direct):
1 Ge 0.000 0.000 0.000
2 Pr 0.250 0.250 0.250
3 Ta 0.750 0.750 0.750

## Properties
- Calculated density: 8.9 g/cm3
- V: 24.44 Å³ per atom
- Total DFT energy (no corrections): -6.87 eV/atom



11.
TbPrGe2: relaxed, PBE-GGA.

Cell lengths 3.312, 6.510, 6.510 Å; angles 54.56, 90.00, 90.00 degrees
Positions (direct):
1 Ge 0.500 0.393 0.393
2 Ge 0.500 0.603 0.603
3 Pr 0.500 0.853 0.853
4 Tb 0.500 0.151 0.151

## Properties
- Calculated density: 6.5 g/cm3
- V: 28.60 Å³ per atom
- Total DFT energy (no corrections): -4.62 eV/atom



12.
TbPrZn2Ge2: relaxed, PBE-GGA.

Cell lengths 4.278, 4.278, 16.204 Å; angles 90.00, 90.00, 120.00 degrees
Positions (direct):
1 Ge 0.333 0.667 0.119
2 Ge 0.333 0.667 0.381
3 Ge 0.667 0.333 0.619
4 Ge 0.667 0.333 0.881
5 Pr 0.000 0.000 0.000
6 Pr 0.000 0.000 0.500
7 Tb 0.000 0.000 0.250
8 Tb 0.000 0.000 0.750
9 Zn 0.667 0.333 0.150
10 Zn 0.667 0.333 0.350
11 Zn 0.333 0.667 0.650
12 Zn 0.333 0.667 0.850

## Properties
- Relative energy among the computed polymorphs: 0.000 eV per atom
- Calculated density: 7.4 g/cm3
- V: 21.40 Å³ per atom



> The highest V belongs to which entry?

SrPrGe



> What is the calculated density in the fourth record?

7.2 g/cm3